[1]
A relaxed structure of Dy5Hf, computed with PBE-GGA.

Summary:
- ΔH_f (0 K) (eV per formula unit) = 0.550
- crystal system = orthorhombic
- total moment (μB per formula unit) = 0.00
- raw total energy (eV/cell) = -32.41

a = 4.9146 Å, b = 4.8793 Å, c = 7.7513 Å
α = 108.35°, β = 90.00°, γ = 90.00°
Fractional coordinates of all 6 atoms:
1 Dy 0.0000 0.3404 0.6808
2 Dy 0.0000 0.6596 0.3192
3 Dy 0.5000 0.1606 0.3212
4 Dy 0.5000 0.8394 0.6788
5 Hf 0.0000 0.0000 0.0000
6 Dy 0.5000 0.5000 0.0000

---

[2]
A relaxed structure of CaGaSb2, computed with PBE-GGA.

Summary:
- crystal system = trigonal
- total moment (μB per formula unit) = 0.00
- ΔE_f (raw) (eV/atom) = 0.06
- raw total energy (eV/cell) = -13.03

a = 3.8401 Å, b = 3.8401 Å, c = 10.0157 Å
α = 78.95°, β = 78.95°, γ = 60.00°
Fractional coordinates of all 4 atoms:
1 Ga 0.5000 0.5000 0.5000
2 Sb 0.8932 0.8932 0.3204
3 Ca 0.0000 0.0000 0.0000
4 Sb 0.1068 0.1068 0.6796

---

[3]
A relaxed structure of Ba2MgHg, computed with PBE-GGA.

Summary:
- ΔH_f (0 K) (eV per formula unit) = -0.983
- crystal system = monoclinic
- total moment (μB per formula unit) = 0.00
- raw total energy (eV/cell) = -6.73

a = 7.0469 Å, b = 7.0469 Å, c = 6.0440 Å
α = 65.31°, β = 65.31°, γ = 34.48°
Fractional coordinates of all 4 atoms:
1 Ba 0.0194 0.0194 0.9786
2 Ba 0.2126 0.2126 0.2904
3 Mg 0.7997 0.7997 0.7040
4 Hg 0.4683 0.4683 0.5270

---

[4]
A relaxed structure of NaTl2In2Sn, computed with PBE-GGA.

Summary:
- ΔH_f (0 K) (eV per formula unit) = -0.183
- crystal system = orthorhombic
- total moment (μB per formula unit) = 0.00
- raw total energy (eV/cell) = -31.43

a = 5.2067 Å, b = 7.4005 Å, c = 9.1523 Å
α = 90.00°, β = 90.00°, γ = 90.00°
Fractional coordinates of all 12 atoms:
1 Na 0.0000 0.0092 0.4669
2 In 0.0000 0.2263 0.8314
3 In 0.5000 0.8089 0.6604
4 Sn 0.5000 0.2160 0.6576
5 Na 0.0000 0.5092 0.5331
6 Tl 0.5000 0.5053 0.9519
7 Tl 0.0000 0.2799 0.1666
8 In 0.0000 0.7263 0.1686
9 Sn 0.5000 0.7160 0.3424
10 Tl 0.5000 0.0053 0.0481
11 In 0.5000 0.3089 0.3396
12 Tl 0.0000 0.7799 0.8334

---

[5]
A relaxed structure of TlCdP, computed with PBE-GGA.

Summary:
- ΔH_f (0 K) (eV per formula unit) = 0.161
- crystal system = trigonal
- total moment (μB per formula unit) = 0.00
- raw total energy (eV/cell) = -8.53

a = 4.3897 Å, b = 4.3897 Å, c = 4.9159 Å
α = 90.00°, β = 90.00°, γ = 120.00°
Fractional coordinates of all 3 atoms:
1 P 0.6667 0.3333 0.1873
2 Cd 0.0000 0.0000 0.1555
3 Tl 0.3333 0.6667 0.6572

---

[6]
A relaxed structure of Cu2SnI2, computed with PBE-GGA.

Summary:
- crystal system = tetragonal
- total moment (μB per formula unit) = 0.00
- ΔE_f (raw) (eV/atom) = 0.47
- raw total energy (eV/cell) = -25.91

a = 8.4602 Å, b = 8.4602 Å, c = 3.7552 Å
α = 90.00°, β = 90.00°, γ = 90.00°
Fractional coordinates of all 10 atoms:
1 Sn 0.5000 0.5000 0.0000
2 I 0.6534 0.1534 0.0000
3 I 0.8466 0.6534 0.0000
4 Cu 0.8117 0.3117 0.5000
5 I 0.1534 0.3466 0.0000
6 Cu 0.6883 0.8117 0.5000
7 Cu 0.3117 0.1883 0.5000
8 Cu 0.1883 0.6883 0.5000
9 Sn 0.0000 0.0000 0.0000
10 I 0.3466 0.8466 0.0000

---

[7]
A relaxed structure of K2CoTe, computed with PBE-GGA.

Summary:
- crystal system = orthorhombic
- total moment (μB per formula unit) = 1.00
- ΔE_f (raw) (eV/atom) = -0.11
- raw total energy (eV/cell) = -12.87

a = 4.7464 Å, b = 5.6815 Å, c = 6.0825 Å
α = 62.19°, β = 90.00°, γ = 90.00°
Last column: magnetic moment on the atom in μB.
Fractional coordinates of all 4 atoms:
1 Te 0.0000 0.6439 0.5867  0.02
2 K 0.5000 0.2824 0.3101  -0.01
3 Co 0.5000 0.6076 0.6608  1.18
4 K 0.0000 0.9661 0.9424  -0.01